Material: Pr4NdHg
Method: DFT, PBE-GGA
State: relaxed

## Properties
- DOS(E_F): 8.43 states/eV/f.u.
- Formation energy from the elements: -0.064 eV/atom
- Energy: -49.144 eV/cell
- Excess energy over the best structure of this formula in the dataset: 87 meV per atom
- Total magnetization: 0.00 μB/cell

CIF file:
```
data_Pr4NdHg
_chemical_formula_sum 'Pr8 Nd2 Hg2'
_symmetry_space_group_name_H-M 'P 1'
_symmetry_Int_Tables_number 1
_cell_length_a 6.612
_cell_length_b 9.354
_cell_length_c 8.485
_cell_angle_alpha 113.68
_cell_angle_beta 100.25
_cell_angle_gamma 112.58
loop_
_symmetry_equiv_pos_as_xyz
'x,y,z'
loop_
_atom_site_label
_atom_site_fract_x
_atom_site_fract_y
_atom_site_fract_z
_atom_site_occupancy
Nd1 0.341 0.591 0.183 1
Pr1 0.771 0.397 0.229 1
Pr2 0.363 0.912 0.625 1
Hg1 0.252 0.002 0.003 1
Hg2 0.748 0.998 0.997 1
Pr3 0.762 0.713 0.625 1
Pr4 0.958 0.833 0.229 1
Pr5 0.229 0.603 0.771 1
Nd2 0.659 0.409 0.817 1
Pr6 0.238 0.287 0.375 1
Pr7 0.042 0.167 0.771 1
Pr8 0.637 0.088 0.375 1
```